Crystalline SmDy2Mg3Tl2Cd at its relaxed geometry. Source: OQMD, functional PBE-GGA.

- uncorrected energy (eV/atom) = -3.018
- magnetic moment (μB/f.u.) = 0.0

Lattice parameters (Å, degrees): 4.649 7.603 7.603 120.62 90.00 90.00
Sites, in units of the cell vectors:
Tl 0.500 0.671 0.333
Tl 0.500 0.333 0.671
Cd 0.000 0.994 0.994
Mg 0.500 0.239 0.000
Dy 0.000 0.577 0.002
Sm 0.000 0.426 0.426
Mg 0.500 0.000 0.239
Dy 0.000 0.002 0.577
Mg 0.500 0.760 0.760